(1)
This record from Alexandria describes VZnFe14 after structural relaxation. The functional is PBE-GGA.

The structure in extended XYZ format:
```
16
Lattice="-3.4428 -3.3919 -1.0657 1.7281 -0.7953 4.5689 -5.7152 4.8564 3.0070" Properties=species:S:1:pos:R:3 pbc="T T T"
V -1.7760 1.3082 5.3679
Zn -4.3600 0.0107 2.5523
Fe 1.0823 -1.1196 3.8652
Fe -1.5034 -2.4180 1.0477
Fe -2.6391 1.7067 3.0839
Fe 0.2181 -0.7221 1.5807
Fe -3.4969 -0.3878 4.8363
Fe -0.6392 -2.8155 3.3322
Fe -5.3773 2.2987 2.4272
Fe -2.4800 -0.1632 0.9028
Fe -6.2438 0.1827 4.1976
Fe -3.3465 -2.2792 2.6732
Fe -4.5076 1.8670 4.6987
Fe -1.6517 -0.5597 3.1961
Fe -7.0722 0.5795 1.9045
Fe -4.2158 -1.8477 0.4016
```

D(E_F): 12.1 states/eV per cell
Space-group type: No. 65
ΔH_f (0 K): -0.02 eV/atom


(2)
This record from Alexandria describes VZnFe2 after structural relaxation. The functional is PBE-GGA.

The structure in extended XYZ format:
```
4
Lattice="3.0303 0.0000 0.0000 0.0000 3.9469 0.0000 0.0000 0.0000 3.9469" Properties=species:S:1:pos:R:3 pbc="T T T"
Zn 1.5151 1.9734 1.9734
Fe 0.0000 0.0000 1.9734
Fe 0.0000 1.9734 0.0000
V 1.5151 0.0000 0.0000
```

D(E_F): 3.0 states/eV per cell
Space-group type: No. 123
ΔH_f (0 K): -0.01 eV/atom